YNiO2: relaxed, PBE with a Hubbard U.

The structure belongs to space group I-42d (No. 122); the cell edges are 4.6925, 4.6925 and 10.7814 Å and the angles 90.00°, 90.00° and 90.00°. The asymmetric unit holds Y at (0.0000, 0.0000, 0.0000), Ni at (0.0000, 0.0000, 0.5000) and O at (0.2313, 0.2500, 0.6250).

The calculation puts the volume at 14.84 Å³/atom.

YNi3O: relaxed, PBE with a Hubbard U.

The structure belongs to space group Pm-3m (No. 221); the cell edges are 4.5821, 4.5821 and 4.5821 Å and the angles 90.00°, 90.00° and 90.00°. The asymmetric unit holds Y at (0.0000, 0.0000, 0.0000), Ni at (0.0000, 0.0000, 0.5000) and O at (0.5000, 0.5000, 0.5000).

The calculation puts the volume at 19.24 Å³/atom. For the energy above the most stable polymorph in this dataset, the calculation gives 11.263 eV/f.u.

YNiO3: relaxed, PBE with a Hubbard U.

The structure belongs to space group Pm-3m (No. 221); the cell edges are 4.2786, 4.2786 and 4.2786 Å and the angles 90.00°, 90.00° and 90.00°. The asymmetric unit holds Y at (0.0000, 0.0000, 0.0000), Ni at (0.5000, 0.5000, 0.5000) and O at (0.0000, 0.0000, 0.5000).

The calculation puts the volume at 15.67 Å³/atom.

YNiO3: relaxed, PBE with a Hubbard U.

The structure belongs to space group P6_3/mmc (No. 194); the cell edges are 3.5635, 3.5635 and 11.2609 Å and the angles 90.00°, 90.00° and 120.00°. The asymmetric unit holds Y at (0.0000, 0.0000, 0.0000), Ni at (0.3333, 0.6667, 0.2500), O at (0.0000, 0.0000, 0.2500) and O at (0.3333, 0.6667, 0.0873).

The calculation puts the volume at 12.38 Å³/atom.

Let's list total magnetization in order: 1.12 0.00 3.00 1.04 μB/f.u..
Let's list energy in order: -6.546 -1.440 -5.485 -6.701 eV per atom.